Dy2HoIn after structural relaxation, computed with GGA-PBE.

Computed properties:
Magnetic moment in μB per cell: 0.0
E_form in eV/atom: -0.266
Electronic total energy in eV per cell: -17.584
E above lowest polymorph in kcal/mol of atoms: 0.00

abc: 4.8341 4.8368 4.8368
angles: 90.00 90.00 90.00
Sites, in units of the cell vectors:
Dy: 0.0000 0.0000 0.5000
Ho: 0.5000 0.5000 0.5000
In: 0.5000 0.0000 0.0000
Dy: 0.0000 0.5000 0.0000